Record 1
VASP calculation (PBE) on Nd5Ga2Sb after structural relaxation.

Cell lengths 8.420, 8.420, 8.872 Å; angles 118.33, 118.33, 90.00 degrees
Positions (direct):
Nd: 0.303 0.803 0.289
Nd: 0.000 0.000 0.000
Nd: 0.486 0.303 0.289
Nd: 0.803 0.986 0.289
Nd: 0.697 0.197 0.711
Nd: 0.197 0.014 0.711
Nd: 0.986 0.486 0.289
Nd: 0.014 0.514 0.711
Nd: 0.514 0.697 0.711
Nd: 0.500 0.500 0.000
Ga: 0.141 0.359 0.000
Ga: 0.359 0.859 0.000
Ga: 0.859 0.641 0.000
Ga: 0.641 0.141 0.000
Sb: 0.750 0.750 0.500
Sb: 0.250 0.250 0.500

**Calculated total energy**: -38.982 eV/f.u.



Record 2
VASP calculation (PBE) on Tb6ScCd2 after structural relaxation.

Cell lengths 6.094, 9.436, 9.436 Å; angles 73.68, 86.31, 86.31 degrees
Positions (direct):
Tb: 0.494 0.688 0.421
Tb: 0.506 0.312 0.579
Tb: 0.660 0.091 0.351
Tb: 0.319 0.737 0.031
Tb: 0.681 0.263 0.969
Tb: 0.340 0.909 0.649
Tb: 0.006 0.579 0.312
Tb: 0.160 0.351 0.091
Tb: 0.819 0.031 0.737
Tb: 0.840 0.649 0.909
Tb: 0.994 0.421 0.688
Tb: 0.181 0.969 0.263
Cd: 0.587 0.455 0.215
Cd: 0.913 0.785 0.545
Cd: 0.087 0.215 0.455
Cd: 0.413 0.545 0.785
Sc: 0.250 0.100 0.900
Sc: 0.750 0.900 0.100

**Calculated total energy**: -36.404 eV/f.u.
**Formation enthalpy at 0 K**: -0.05 eV per atom



Record 3
VASP calculation (PBE) on CaZr2W after structural relaxation.

Cell lengths 4.635, 3.077, 6.636 Å; angles 79.84, 90.00, 90.00 degrees
Positions (direct):
Zr: 0.000 0.974 0.950
Zr: 0.000 0.526 0.550
W: 0.500 0.750 0.750
Ca: 0.500 0.250 0.250

**Calculated total energy**: -30.445 eV/f.u.
**Formation enthalpy at 0 K**: 0.40 eV per atom



In the order shown, the computed D(E_F) values come out to 15.500 20.665 4.736 states/eV/cell.
In the order shown, the computed mass density values come out to 7.00 7.83 7.24 g/cm3.